A geometry-optimized Li2HfAsP structure, computed with GGA-PBE.

The structure in POSCAR format:
```
Li2HfAsP
1.0
3.873 0.000 0.000
-1.937 3.354 0.000
0.000 0.000 6.638
Li Hf As P
2 1 1 1
Direct
0.000 0.000 0.000
0.333 0.667 0.754
0.667 0.333 0.394
0.333 0.667 0.155
0.000 0.000 0.609
```

Summary:
Size of the total moment in μB/atom: 0.000
Calculated volume in Å³ per atom: 17.2
Space group: P3m1
Total energy in eV for the cell shown: -28.2

---

A geometry-optimized Zr2Ga2CuAu structure, computed with GGA-PBE.

The structure in POSCAR format:
```
Zr2Ga2CuAu
1.0
4.314 0.000 0.000
-2.157 3.736 0.000
0.000 0.000 6.666
Zr Ga Cu Au
2 2 1 1
Direct
0.000 0.000 0.000
0.000 0.000 0.486
0.667 0.333 0.263
0.667 0.333 0.706
0.333 0.667 0.207
0.333 0.667 0.785
```

Summary:
Size of the total moment in μB/atom: 0.001
ΔE to the lowest computed polymorph in eV/atom: 0.000
Calculated volume in Å³ per atom: 17.9
Space group: P3m1
Total energy in eV for the cell shown: -33.2

---

A geometry-optimized ErScZn2Sn2 structure, computed with GGA-PBE.

The structure in POSCAR format:
```
ErScZn2Sn2
1.0
4.473 0.000 0.000
-2.236 3.874 0.000
0.000 0.000 15.059
Er Sc Zn Sn
2 2 4 4
Direct
0.000 0.000 0.250
0.000 0.000 0.750
0.000 0.000 0.000
0.000 0.000 0.500
0.333 0.667 0.157
0.333 0.667 0.343
0.667 0.333 0.657
0.667 0.333 0.843
0.333 0.667 0.606
0.333 0.667 0.894
0.667 0.333 0.106
0.667 0.333 0.394
```

Summary:
Size of the total moment in μB/atom: 0.001
ΔE to the lowest computed polymorph in eV/atom: 0.010
Calculated volume in Å³ per atom: 21.7
Space group: P6_3/mmc
Total energy in eV for the cell shown: -48.8

---

A geometry-optimized PdS2 structure, computed with GGA-PBE.

The structure in POSCAR format:
```
PdS2
1.0
7.690 0.000 0.000
0.000 3.478 0.000
0.000 0.000 8.925
Pd S
4 8
Direct
0.181 0.250 0.052
0.319 0.750 0.552
0.681 0.250 0.448
0.819 0.750 0.948
0.011 0.750 0.160
0.149 0.250 0.451
0.351 0.750 0.951
0.489 0.250 0.660
0.511 0.750 0.340
0.649 0.250 0.049
0.851 0.750 0.549
0.989 0.250 0.840
```

Summary:
Calculated volume in Å³ per atom: 19.9
Space group: Pnma
Total energy in eV for the cell shown: -52.4

---

A geometry-optimized DySbIr structure, computed with GGA-PBE.

The structure in POSCAR format:
```
DySbIr
1.0
5.808 0.000 0.000
0.000 4.468 0.000
0.000 0.000 10.377
Dy Sb Ir
4 4 4
Direct
0.142 0.250 0.132
0.358 0.750 0.632
0.642 0.250 0.368
0.858 0.750 0.868
0.237 0.750 0.338
0.263 0.250 0.838
0.737 0.750 0.162
0.763 0.250 0.662
0.116 0.250 0.450
0.384 0.750 0.950
0.616 0.250 0.050
0.884 0.750 0.550
```

Summary:
Size of the total moment in μB/atom: 0.001
Calculated volume in Å³ per atom: 22.4
Space group: Pnma
Total energy in eV for the cell shown: -78.8

---

A geometry-optimized Cs2Sm2AsP structure, computed with GGA-PBE.

The structure in POSCAR format:
```
Cs2Sm2AsP
1.0
5.137 0.000 0.000
0.000 5.137 0.000
0.000 0.000 8.584
Cs Sm As P
2 2 1 1
Direct
0.000 0.000 0.000
0.500 0.500 0.253
0.000 0.500 0.620
0.500 0.000 0.620
0.500 0.500 0.796
0.000 0.000 0.467
```

Summary:
Size of the total moment in μB/atom: 0.006
Calculated volume in Å³ per atom: 37.7
Space group: P4mm
Total energy in eV for the cell shown: -25.4

---

A geometry-optimized TlFeCuAg structure, computed with GGA-PBE.

The structure in POSCAR format:
```
TlFeCuAg
1.0
0.000 3.210 3.210
3.210 0.000 3.210
3.210 3.210 0.000
Tl Fe Cu Ag
1 1 1 1
Direct
0.000 0.000 0.000
0.750 0.750 0.750
0.250 0.250 0.250
0.500 0.500 0.500
```

Summary:
Size of the total moment in μB/atom: 0.696
ΔE to the lowest computed polymorph in eV/atom: 0.000
Calculated volume in Å³ per atom: 16.5
Space group: F-43m
Total energy in eV for the cell shown: -15.5

---

A geometry-optimized RbLiTe3Pd structure, computed with GGA-PBE.

The structure in POSCAR format:
```
RbLiTe3Pd
1.0
2.081 -7.786 0.000
2.081 7.786 0.000
0.000 0.000 10.821
Rb Li Te Pd
2 2 6 2
Direct
0.235 0.765 0.750
0.765 0.235 0.250
0.465 0.535 0.250
0.535 0.465 0.750
0.073 0.927 0.250
0.386 0.614 0.021
0.386 0.614 0.479
0.614 0.386 0.521
0.614 0.386 0.979
0.927 0.073 0.750
0.000 0.000 0.000
0.000 0.000 0.500
```

Summary:
Calculated volume in Å³ per atom: 29.2
Space group: Cmcm
Total energy in eV for the cell shown: -41.8

---

A geometry-optimized ZnTe structure, computed with GGA-PBE.

The structure in POSCAR format:
```
ZnTe
1.0
5.323 0.000 0.000
0.000 6.253 0.000
0.000 0.000 11.670
Zn Te
8 8
Direct
0.250 0.051 0.060
0.250 0.250 0.333
0.250 0.250 0.849
0.250 0.449 0.060
0.750 0.551 0.940
0.750 0.750 0.151
0.750 0.750 0.667
0.750 0.949 0.940
0.250 0.507 0.576
0.250 0.750 0.225
0.250 0.750 0.880
0.250 0.993 0.576
0.750 0.007 0.424
0.750 0.250 0.120
0.750 0.250 0.775
0.750 0.493 0.424
```

Summary:
Calculated volume in Å³ per atom: 24.3
Space group: Pmmn
Total energy in eV for the cell shown: -34.0

---

A geometry-optimized Y4Nb2Ga3N3 structure, computed with GGA-PBE.

The structure in POSCAR format:
```
Y4Nb2Ga3N3
1.0
5.091 -2.959 0.000
5.091 2.959 0.000
-3.412 0.000 13.837
Y Nb Ga N
8 4 6 6
Direct
0.040 0.194 0.100
0.126 0.301 0.400
0.194 0.040 0.600
0.301 0.126 0.900
0.699 0.874 0.100
0.806 0.960 0.400
0.874 0.699 0.600
0.960 0.806 0.900
0.355 0.525 0.074
0.475 0.645 0.426
0.525 0.355 0.574
0.645 0.475 0.926
0.160 0.840 0.250
0.325 0.418 0.752
0.418 0.325 0.252
0.582 0.675 0.748
0.675 0.582 0.248
0.840 0.160 0.750
0.000 0.500 0.000
0.175 0.663 0.500
0.337 0.825 0.000
0.500 0.000 0.500
0.663 0.175 0.000
0.825 0.337 0.500
```

Summary:
Size of the total moment in μB/atom: 0.000
Calculated volume in Å³ per atom: 17.4
Space group: C2/c
Total energy in eV for the cell shown: -184.5

---

A geometry-optimized RbNaNiMo structure, computed with GGA-PBE.

The structure in POSCAR format:
```
RbNaNiMo
1.0
0.000 3.619 3.619
3.619 0.000 3.619
3.619 3.619 0.000
Rb Na Ni Mo
1 1 1 1
Direct
0.000 0.000 0.000
0.250 0.250 0.250
0.750 0.750 0.750
0.500 0.500 0.500
```

Summary:
Size of the total moment in μB/atom: 1.035
ΔE to the lowest computed polymorph in eV/atom: 0.000
Calculated volume in Å³ per atom: 23.7
Space group: F-43m
Total energy in eV for the cell shown: -13.0

---

A geometry-optimized NdGdTl2Zn2 structure, computed with GGA-PBE.

The structure in POSCAR format:
```
NdGdTl2Zn2
1.0
4.736 0.000 0.000
-2.368 4.102 0.000
0.000 0.000 7.508
Nd Gd Tl Zn
1 1 2 2
Direct
0.000 0.000 0.000
0.000 0.000 0.500
0.333 0.667 0.773
0.667 0.333 0.284
0.333 0.667 0.203
0.667 0.333 0.695
```

Summary:
Size of the total moment in μB/atom: 0.001
Calculated volume in Å³ per atom: 24.3
Space group: P3m1
Total energy in eV for the cell shown: -18.9